No. 1
Material: TaHPdRu2
Method: DFT, GGA-PBE
State: optimized geometry

Cell: 3.944 3.944 4.003 Å, 90.00 90.00 90.00°
Fractional positions:
1 Ru 0.000 0.500 0.000
2 Pd 0.500 0.500 0.500
3 Ru 0.500 0.000 0.000
4 Ta 0.000 0.000 0.500
5 H 0.000 0.000 0.000

Raw total energy ... -7.98 eV/atom

No. 2
Material: AlRh2
Method: DFT, GGA-PBE
State: optimized geometry

Cell: 6.096 6.096 4.718 Å, 97.63 82.37 93.90°
Fractional positions:
1 Rh 0.415 0.906 0.754
2 Rh 0.251 0.749 0.259
3 Rh 0.094 0.585 0.754
4 Rh 0.523 0.477 0.473
5 Al 0.542 0.062 0.265
6 Al 0.019 0.981 0.999
7 Rh 0.674 0.665 0.990
8 Rh 0.825 0.856 0.505
9 Rh 0.144 0.175 0.505
10 Al 0.938 0.458 0.265
11 Al 0.739 0.261 0.742
12 Rh 0.335 0.326 0.990

Raw total energy ... -6.65 eV/atom
E_form ... -502 meV per atom

Sequential theoretical density output: 13082, 8989 kg/m3